Entry from Alexandria: a relaxed structure of CuSi (PBE).

Unit cell a=8.100 b=8.100 c=4.467 alpha=90.00 beta=90.00 gamma=90.00
Space group I4/mcm (No. 140)
Unique sites:
Cu (0.184, 0.316, 0.000) [8 per cell]
Si (0.112, 0.388, 0.500) [8 per cell]

Computed properties:
Total energy, eV per atom: -4.502
Formation energy from raw total energies, eV/atom: 0.258
Density of states at the Fermi level, states/eV per cell: 10.3
Size of the total moment, μB per cell: 0.000

=====

Entry from Alexandria: a relaxed structure of YRe4Rh (PBE).

Unit cell a=7.467 b=7.467 c=7.467 alpha=90.00 beta=90.00 gamma=90.00
Space group F-43m (No. 216)
Unique sites:
Y (0.000, 0.000, 0.000) [4 per cell]
Re (0.125, 0.125, 0.375) [16 per cell]
Rh (0.250, 0.250, 0.750) [4 per cell]

Computed properties:
Total energy, eV per atom: -10.442
E_form, eV per atom: 0.16
Density of states at the Fermi level, states/eV per cell: 33.6
Size of the total moment, μB per cell: 0.002

=====

Entry from Alexandria: a relaxed structure of Ba2NaGaAg (PBE).

Unit cell a=6.528 b=6.528 c=4.949 alpha=90.00 beta=90.00 gamma=90.00
Space group P4/mmm (No. 123)
Unique sites:
Ba (0.000, 0.500, 0.000) [2 per cell]
Na (0.000, 0.000, 0.500) [1 per cell]
Ga (0.500, 0.500, 0.500) [1 per cell]
Ag (0.500, 0.500, 0.000) [1 per cell]

Computed properties:
Total energy, eV per atom: -2.275
E_form, eV per atom: -0.07
Density of states at the Fermi level, states/eV per cell: 6.7
Size of the total moment, μB per cell: 0.000

=====

Entry from Alexandria: a relaxed structure of SrLaPd2 (PBE).

Unit cell a=7.391 b=7.391 c=7.391 alpha=90.00 beta=90.00 gamma=90.00
Space group Fm-3m (No. 225)
Unique sites:
Sr (0.000, 0.000, 0.000) [4 per cell]
La (0.000, 0.000, 0.500) [4 per cell]
Pd (0.250, 0.250, 0.250) [8 per cell]

Computed properties:
Total energy, eV per atom: -4.913
E_form, eV per atom: -0.66
Density of states at the Fermi level, states/eV per cell: 10.7
Size of the total moment, μB per cell: 0.000
Energy relative to the lowest polymorph listed for this composition, eV per atom: 0.048

=====

| no. | mass density (g/cm3) |
| --- | --- |
| 1 | 4.153 |
| 2 | 14.942 |
| 3 | 3.742 |
| 4 | 7.228 |